(1)
# CaAuBr, relaxed, DFT PBE
data_CaAuBr
_cell_length_a 3.606
_cell_length_b 3.606
_cell_length_c 12.709
_cell_angle_alpha 90.00
_cell_angle_beta 90.00
_cell_angle_gamma 90.00
_space_group_name_H-M_alt 'I 4 m m'
_space_group_IT_number 107
_space_group_name_Hall 'I 4 -2'
loop_
_atom_site_label
_atom_site_fract_x
_atom_site_fract_y
_atom_site_fract_z
Ca1 0.000 0.000 0.000
Au1 0.000 0.000 0.362
Br1 0.000 0.000 0.632
# Formation energy from raw total energies ... -1060 meV/atom
# Uncorrected energy ... -3.378 eV/atom
# Distance to the lowest polymorph of the same formula ... 165 meV per atom

(2)
# CaAuBr3, relaxed, DFT PBE
data_CaAuBr3
_cell_length_a 5.415
_cell_length_b 5.415
_cell_length_c 5.415
_cell_angle_alpha 90.00
_cell_angle_beta 90.00
_cell_angle_gamma 90.00
_space_group_name_H-M_alt 'P m -3 m'
_space_group_IT_number 221
_space_group_name_Hall '-P 4 2 3'
loop_
_atom_site_label
_atom_site_fract_x
_atom_site_fract_y
_atom_site_fract_z
Ca1 0.000 0.000 0.000
Au1 0.500 0.500 0.500
Br1 0.000 0.500 0.500
# Formation energy from raw total energies ... -638 meV/atom
# Uncorrected energy ... -2.698 eV/atom
# Distance to the lowest polymorph of the same formula ... 45 meV per atom

(3)
# CaAuBr4, relaxed, DFT PBE
data_CaAuBr4
_cell_length_a 8.845
_cell_length_b 8.845
_cell_length_c 8.845
_cell_angle_alpha 90.00
_cell_angle_beta 90.00
_cell_angle_gamma 90.00
_space_group_name_H-M_alt 'F -4 3 m'
_space_group_IT_number 216
_space_group_name_Hall 'F -4 2 3'
loop_
_atom_site_label
_atom_site_fract_x
_atom_site_fract_y
_atom_site_fract_z
Ca1 0.000 0.000 0.000
Au1 0.250 0.250 0.750
Br1 0.124 0.124 0.376
# Formation energy from raw total energies ... 19 meV/atom
# Uncorrected energy ... -1.976 eV/atom
# Distance to the lowest polymorph of the same formula ... 1044 meV per atom

(4)
# CaAuBr6, relaxed, DFT PBE
data_CaAuBr6
_cell_length_a 5.662
_cell_length_b 7.324
_cell_length_c 7.688
_cell_angle_alpha 85.74
_cell_angle_beta 74.04
_cell_angle_gamma 87.66
_space_group_name_H-M_alt 'P -1'
_space_group_IT_number 2
_space_group_name_Hall '-P 1'
loop_
_atom_site_label
_atom_site_fract_x
_atom_site_fract_y
_atom_site_fract_z
Ca1 0.000 0.000 0.000
Au1 0.500 0.500 0.000
Br1 0.056 0.114 0.608
Br2 0.253 0.335 0.817
Br3 0.453 0.796 0.832
# Formation energy from raw total energies ... -752 meV/atom
# Uncorrected energy ... -2.667 eV/atom

(5)
# CaAuBr, relaxed, DFT PBE
data_CaAuBr
_cell_length_a 7.110
_cell_length_b 7.110
_cell_length_c 7.110
_cell_angle_alpha 90.00
_cell_angle_beta 90.00
_cell_angle_gamma 90.00
_space_group_name_H-M_alt 'F -4 3 m'
_space_group_IT_number 216
_space_group_name_Hall 'F -4 2 3'
loop_
_atom_site_label
_atom_site_fract_x
_atom_site_fract_y
_atom_site_fract_z
Ca1 0.000 0.000 0.000
Au1 0.250 0.250 0.750
Br1 0.250 0.250 0.250
# Formation energy from raw total energies ... -1074 meV/atom
# Uncorrected energy ... -3.391 eV/atom
# Distance to the lowest polymorph of the same formula ... 151 meV per atom

(6)
# CaAuBr4, relaxed, DFT PBE
data_CaAuBr4
_cell_length_a 6.928
_cell_length_b 4.346
_cell_length_c 14.954
_cell_angle_alpha 90.00
_cell_angle_beta 115.46
_cell_angle_gamma 90.00
_space_group_name_H-M_alt 'P 1 21/c 1'
_space_group_IT_number 14
_space_group_name_Hall '-P 2ybc'
loop_
_atom_site_label
_atom_site_fract_x
_atom_site_fract_y
_atom_site_fract_z
Ca1 0.000 0.000 0.000
Au1 0.500 0.000 0.500
Br1 0.216 0.140 0.876
Br2 0.291 0.501 0.115
# Formation energy from raw total energies ... -1024 meV/atom
# Uncorrected energy ... -3.019 eV/atom
# Distance to the lowest polymorph of the same formula ... 0 meV per atom

(7)
# CaAu3Br, relaxed, DFT PBE
data_CaAu3Br
_cell_length_a 5.221
_cell_length_b 5.221
_cell_length_c 5.221
_cell_angle_alpha 90.00
_cell_angle_beta 90.00
_cell_angle_gamma 90.00
_space_group_name_H-M_alt 'P m -3 m'
_space_group_IT_number 221
_space_group_name_Hall '-P 4 2 3'
loop_
_atom_site_label
_atom_site_fract_x
_atom_site_fract_y
_atom_site_fract_z
Ca1 0.000 0.000 0.000
Au1 0.000 0.500 0.500
Br1 0.500 0.500 0.500
# Formation energy from raw total energies ... 383 meV/atom
# Uncorrected energy ... -2.318 eV/atom

(8)
# CaCoAu2Br, relaxed, DFT PBE
data_CaCoAu2Br
_cell_length_a 4.951
_cell_length_b 4.951
_cell_length_c 4.775
_cell_angle_alpha 90.00
_cell_angle_beta 90.00
_cell_angle_gamma 90.00
_space_group_name_H-M_alt 'P 4/m m m'
_space_group_IT_number 123
_space_group_name_Hall '-P 4 2'
loop_
_atom_site_label
_atom_site_fract_x
_atom_site_fract_y
_atom_site_fract_z
Ca1 0.000 0.000 0.000
Co1 0.500 0.500 0.500
Au1 0.000 0.500 0.500
Br1 0.500 0.500 0.000
# Formation energy from raw total energies ... -137 meV/atom
# Uncorrected energy ... -3.604 eV/atom

(9)
# Cs2CaAu2Br6, relaxed, DFT PBE
data_Cs2CaAu2Br6
_cell_length_a 14.593
_cell_length_b 8.098
_cell_length_c 8.344
_cell_angle_alpha 90.00
_cell_angle_beta 122.46
_cell_angle_gamma 90.00
_space_group_name_H-M_alt 'C 1 2/m 1'
_space_group_IT_number 12
_space_group_name_Hall '-C 2y'
loop_
_atom_site_label
_atom_site_fract_x
_atom_site_fract_y
_atom_site_fract_z
Cs1 0.239 0.000 0.224
Ca1 0.000 0.000 0.500
Au1 0.062 0.500 0.215
Br1 0.048 0.240 0.794
Br2 0.236 0.000 0.672
# Formation energy from raw total energies ... -1189 meV/atom
# Uncorrected energy ... -3.034 eV/atom

(10)
# Ca2AuBrF, relaxed, DFT PBE
data_Ca2AuBrF
_cell_length_a 5.624
_cell_length_b 5.624
_cell_length_c 4.873
_cell_angle_alpha 90.00
_cell_angle_beta 90.00
_cell_angle_gamma 90.00
_space_group_name_H-M_alt 'P 4/m m m'
_space_group_IT_number 123
_space_group_name_Hall '-P 4 2'
loop_
_atom_site_label
_atom_site_fract_x
_atom_site_fract_y
_atom_site_fract_z
Ca1 0.000 0.500 0.000
Au1 0.000 0.000 0.000
Br1 0.500 0.500 0.500
F1 0.000 0.000 0.500
# Formation energy from raw total energies ... -959 meV/atom
# Uncorrected energy ... -3.124 eV/atom

(11)
# Ca2FeAuBr, relaxed, DFT PBE
data_Ca2FeAuBr
_cell_length_a 5.498
_cell_length_b 5.498
_cell_length_c 4.697
_cell_angle_alpha 90.00
_cell_angle_beta 90.00
_cell_angle_gamma 90.00
_space_group_name_H-M_alt 'P 4/m m m'
_space_group_IT_number 123
_space_group_name_Hall '-P 4 2'
loop_
_atom_site_label
_atom_site_fract_x
_atom_site_fract_y
_atom_site_fract_z
Ca1 0.000 0.500 0.000
Fe1 0.000 0.000 0.000
Au1 0.000 0.000 0.500
Br1 0.500 0.500 0.500
# Formation energy from raw total energies ... -192 meV/atom
# Uncorrected energy ... -3.675 eV/atom

(12)
# Ca2MgAuBr, relaxed, DFT PBE
data_Ca2MgAuBr
_cell_length_a 6.070
_cell_length_b 6.070
_cell_length_c 5.192
_cell_angle_alpha 90.00
_cell_angle_beta 90.00
_cell_angle_gamma 90.00
_space_group_name_H-M_alt 'P 4/m m m'
_space_group_IT_number 123
_space_group_name_Hall '-P 4 2'
loop_
_atom_site_label
_atom_site_fract_x
_atom_site_fract_y
_atom_site_fract_z
Ca1 0.000 0.500 0.000
Mg1 0.000 0.000 0.000
Au1 0.500 0.500 0.500
Br1 0.000 0.000 0.500
# Formation energy from raw total energies ... 31 meV/atom
# Uncorrected energy ... -2.079 eV/atom

(13)
# CaMo2AuBr, relaxed, DFT PBE
data_CaMo2AuBr
_cell_length_a 5.068
_cell_length_b 5.068
_cell_length_c 6.242
_cell_angle_alpha 90.00
_cell_angle_beta 90.00
_cell_angle_gamma 90.00
_space_group_name_H-M_alt 'P 4/m m m'
_space_group_IT_number 123
_space_group_name_Hall '-P 4 2'
loop_
_atom_site_label
_atom_site_fract_x
_atom_site_fract_y
_atom_site_fract_z
Ca1 0.000 0.000 0.000
Mo1 0.000 0.500 0.500
Au1 0.500 0.500 0.500
Br1 0.500 0.500 0.000
# Formation energy from raw total energies ... 1390 meV/atom
# Uncorrected energy ... -4.333 eV/atom

(14)
# CaAuBrN2, relaxed, DFT PBE
data_CaAuBrN2
_cell_length_a 4.370
_cell_length_b 4.370
_cell_length_c 5.546
_cell_angle_alpha 90.00
_cell_angle_beta 90.00
_cell_angle_gamma 90.00
_space_group_name_H-M_alt 'P 4/m m m'
_space_group_IT_number 123
_space_group_name_Hall '-P 4 2'
loop_
_atom_site_label
_atom_site_fract_x
_atom_site_fract_y
_atom_site_fract_z
Ca1 0.000 0.000 0.000
Au1 0.500 0.500 0.000
Br1 0.000 0.000 0.500
N1 0.000 0.500 0.500
# Formation energy from raw total energies ... 1510 meV/atom
# Uncorrected energy ... -3.211 eV/atom

(15)
# CaNbAuBr2, relaxed, DFT PBE
data_CaNbAuBr2
_cell_length_a 5.243
_cell_length_b 5.243
_cell_length_c 7.427
_cell_angle_alpha 90.00
_cell_angle_beta 90.00
_cell_angle_gamma 90.00
_space_group_name_H-M_alt 'P 4/m m m'
_space_group_IT_number 123
_space_group_name_Hall '-P 4 2'
loop_
_atom_site_label
_atom_site_fract_x
_atom_site_fract_y
_atom_site_fract_z
Ca1 0.000 0.000 0.000
Nb1 0.000 0.000 0.500
Au1 0.500 0.500 0.500
Br1 0.000 0.500 0.000
# Formation energy from raw total energies ... 425 meV/atom
# Uncorrected energy ... -3.314 eV/atom

(16)
# Ca2NiAuBr, relaxed, DFT PBE
data_Ca2NiAuBr
_cell_length_a 5.462
_cell_length_b 5.462
_cell_length_c 5.037
_cell_angle_alpha 90.00
_cell_angle_beta 90.00
_cell_angle_gamma 90.00
_space_group_name_H-M_alt 'P 4/m m m'
_space_group_IT_number 123
_space_group_name_Hall '-P 4 2'
loop_
_atom_site_label
_atom_site_fract_x
_atom_site_fract_y
_atom_site_fract_z
Ca1 0.000 0.500 0.000
Ni1 0.000 0.000 0.500
Au1 0.500 0.500 0.500
Br1 0.500 0.500 0.000
# Formation energy from raw total energies ... 252 meV/atom
# Uncorrected energy ... -2.695 eV/atom

(17)
# Rb2CaAu2Br6, relaxed, DFT PBE
data_Rb2CaAu2Br6
_cell_length_a 14.494
_cell_length_b 7.974
_cell_length_c 8.205
_cell_angle_alpha 90.00
_cell_angle_beta 122.81
_cell_angle_gamma 90.00
_space_group_name_H-M_alt 'C 1 2/m 1'
_space_group_IT_number 12
_space_group_name_Hall '-C 2y'
loop_
_atom_site_label
_atom_site_fract_x
_atom_site_fract_y
_atom_site_fract_z
Rb1 0.241 0.000 0.214
Ca1 0.000 0.000 0.500
Au1 0.059 0.500 0.216
Br1 0.063 0.244 0.806
Br2 0.233 0.000 0.630
# Formation energy from raw total energies ... -1158 meV/atom
# Uncorrected energy ... -3.024 eV/atom

(18)
# Rb2CaAuBr6, relaxed, DFT PBE
data_Rb2CaAuBr6
_cell_length_a 7.760
_cell_length_b 7.760
_cell_length_c 12.231
_cell_angle_alpha 90.00
_cell_angle_beta 90.00
_cell_angle_gamma 90.00
_space_group_name_H-M_alt 'I 4/m m m'
_space_group_IT_number 139
_space_group_name_Hall '-I 4 2'
loop_
_atom_site_label
_atom_site_fract_x
_atom_site_fract_y
_atom_site_fract_z
Rb1 0.000 0.500 0.250
Ca1 0.000 0.000 0.000
Au1 0.000 0.000 0.500
Br1 0.000 0.000 0.230
Br2 0.236 0.236 0.500
# Formation energy from raw total energies ... -1275 meV/atom
# Uncorrected energy ... -3.000 eV/atom

(19)
# CaAu2SBr, relaxed, DFT PBE
data_CaAu2SBr
_cell_length_a 5.699
_cell_length_b 5.699
_cell_length_c 5.415
_cell_angle_alpha 90.00
_cell_angle_beta 90.00
_cell_angle_gamma 90.00
_space_group_name_H-M_alt 'P 4/m m m'
_space_group_IT_number 123
_space_group_name_Hall '-P 4 2'
loop_
_atom_site_label
_atom_site_fract_x
_atom_site_fract_y
_atom_site_fract_z
Ca1 0.000 0.000 0.000
Au1 0.000 0.500 0.000
S1 0.500 0.500 0.500
Br1 0.000 0.000 0.500
# Formation energy from raw total energies ... 469 meV/atom
# Uncorrected energy ... -2.402 eV/atom

(20)
# CaAuSeBr2, relaxed, DFT PBE
data_CaAuSeBr2
_cell_length_a 5.496
_cell_length_b 5.496
_cell_length_c 5.834
_cell_angle_alpha 90.00
_cell_angle_beta 90.00
_cell_angle_gamma 90.00
_space_group_name_H-M_alt 'P 4/m m m'
_space_group_IT_number 123
_space_group_name_Hall '-P 4 2'
loop_
_atom_site_label
_atom_site_fract_x
_atom_site_fract_y
_atom_site_fract_z
Ca1 0.000 0.000 0.000
Au1 0.500 0.500 0.500
Se1 0.000 0.000 0.500
Br1 0.000 0.500 0.000
# Formation energy from raw total energies ... -292 meV/atom
# Uncorrected energy ... -2.714 eV/atom
# Distance to the lowest polymorph of the same formula ... 298 meV per atom

Density list, top to bottom, in g/cm³: 6.4 5.0 5.3 3.9 5.9 4.5 8.3 8.1 4.7 4.1 4.8 3.3 5.3 5.4 4.0 4.6 4.5 4.0 5.2 4.5